Material: KPPd3
Method: DFT, PBE-GGA
State: optimized geometry

Unit cell a=4.654 b=4.654 c=4.654 alpha=90.00 beta=90.00 gamma=90.00
Fractional positions:
Pd 0.000 0.000 0.500
Pd 0.500 0.000 0.000
Pd 0.000 0.500 0.000
P 0.000 0.000 0.000
K 0.500 0.500 0.500

Properties
Distance to the lowest polymorph of the same formula in meV/atom: 80
VASP energy in eV per atom: -4.685

Material: KPPd
Method: DFT, PBE-GGA
State: optimized geometry

Unit cell a=6.759 b=7.615 c=6.542 alpha=90.00 beta=90.00 gamma=116.86
Fractional positions:
K 0.835 0.641 0.625
K 0.165 0.359 0.375
K 0.835 0.141 0.875
K 0.165 0.859 0.125
Pd 0.427 0.830 0.617
Pd 0.573 0.670 0.117
Pd 0.573 0.170 0.383
Pd 0.427 0.330 0.883
P 0.686 0.923 0.352
P 0.314 0.077 0.648
P 0.686 0.423 0.148
P 0.314 0.577 0.852

Properties
VASP energy in eV per atom: -4.403

Material: KPPd
Method: DFT, PBE-GGA
State: optimized geometry

Unit cell a=4.280 b=7.706 c=7.700 alpha=49.96 beta=74.14 gamma=56.64
Fractional positions:
Pd 0.874 0.858 0.441
Pd 0.545 0.771 0.268
K 0.009 0.417 0.054
K 0.410 0.211 0.655
P 0.385 0.773 0.590
P 0.035 0.855 0.119

Properties
VASP energy in eV per atom: -4.360

Record order is preserved below.
Theoretical density: 6.41 3.90 3.64 g/cm3